Here is Tl3CrAg2Cl9 after structural relaxation from the Alexandria database. Energies are from PBE.

Computed properties:
* formation energy without anion corrections: -0.821 eV per atom
* DFT total energy: -51.36 eV for the cell shown

POSCAR file:
```
Tl3CrAg2Cl9
1.0
7.2120 0.0000 0.0000
-3.6060 6.2458 0.0000
0.0000 0.0000 8.8031
Tl Cr Ag Cl
3 1 2 9
Cartesian
0.0000 4.1639 6.1134 Tl
0.0000 0.0000 0.0000 Tl
3.6060 2.0819 2.6897 Tl
0.0000 0.0000 4.4016 Cr
0.0000 4.1639 1.5270 Ag
3.6060 2.0819 7.2761 Ag
5.5415 0.9644 5.7695 Cl
3.6060 4.3169 5.7695 Cl
1.6705 0.9644 5.7695 Cl
1.9355 5.2813 3.0336 Cl
0.0000 1.9289 3.0336 Cl
-1.9355 5.2813 3.0336 Cl
3.6060 0.0000 0.0000 Cl
-1.8030 3.1229 0.0000 Cl
1.8030 3.1229 0.0000 Cl
```

Here is Ac2ErCd3Hg12 after structural relaxation from the Alexandria database. Energies are from PBE.

Computed properties:
* energy relative to the elements: -0.151 eV per atom
* DFT total energy: -21.86 eV for the cell shown

POSCAR file:
```
Ac2ErCd3Hg12
1.0
-12.2116 -1.1727 4.6500
-12.8437 -1.3737 -2.2963
-10.9604 -7.1094 1.2031
Ac Er Cd Hg
2 1 3 12
Cartesian
-22.9110 -6.1424 2.2627 Ac
-13.1048 -3.5134 1.2942 Ac
0.0000 0.0000 0.0000 Er
-6.1058 -0.5863 2.3250 Cd
-6.4219 -0.6868 -1.1481 Cd
-5.4802 -3.5547 0.6016 Cd
-19.5034 -7.0851 1.9799 Hg
-26.3813 -5.1540 2.5499 Hg
-25.8057 -7.8851 0.9642 Hg
-20.0603 -4.4430 3.5139 Hg
-25.5149 -7.7926 4.1597 Hg
-20.3416 -4.5324 0.4225 Hg
-16.5123 -2.5707 1.5770 Hg
-9.6345 -4.5018 1.0070 Hg
-10.2101 -1.7707 2.5927 Hg
-15.9555 -5.2128 0.0430 Hg
-10.5009 -1.8631 -0.6028 Hg
-15.6741 -5.1233 3.1344 Hg
```

Here is Sr3CdSb after structural relaxation from the Alexandria database. Energies are from PBE.

Computed properties:
* relative energy among the computed polymorphs: 0.000 eV/atom
* formation energy without anion corrections: -0.325 eV per atom
* DFT total energy: -11.71 eV for the cell shown

POSCAR file:
```
Sr3CdSb
1.0
6.2961 0.0000 0.0000
0.0000 6.2961 0.0000
0.0000 0.0000 6.2961
Sb Sr Cd
1 3 1
Cartesian
0.0000 0.0000 0.0000 Sb
0.0000 3.1481 0.0000 Sr
0.0000 0.0000 3.1481 Sr
3.1481 0.0000 0.0000 Sr
3.1481 3.1481 3.1481 Cd
```

Here is Pr2HoZrP4 after structural relaxation from the Alexandria database. Energies are from PBE.

Computed properties:
* energy relative to the elements: -1.491 eV per atom
* DFT total energy: -56.25 eV for the cell shown

POSCAR file:
```
Pr2HoZrP4
1.0
4.0146 0.0000 0.0000
0.0000 6.9555 0.1295
0.0000 -2.4228 6.5514
Pr Ho Zr P
2 1 1 4
Cartesian
2.0073 -1.2114 3.2757 Pr
0.0000 2.2663 3.3404 Pr
2.0073 3.4778 0.0647 Ho
0.0000 0.0000 0.0000 Zr
2.0073 1.0870 1.5144 P
2.0073 3.4457 5.1665 P
0.0000 -0.1358 5.0732 P
0.0000 4.6685 1.6077 P
```

Here is SrZrCl2 after structural relaxation from the Alexandria database. Energies are from PBE.

Computed properties:
* relative energy among the computed polymorphs: 0.184 eV/atom
* formation energy without anion corrections: -0.941 eV per atom
* DFT total energy: -17.69 eV for the cell shown

POSCAR file:
```
SrZrCl2
1.0
-4.7491 -1.8900 0.5447
1.2270 -3.2618 -0.6199
1.4895 -2.3003 5.0057
Sr Zr Cl
1 1 2
Cartesian
1.4175 -2.9678 2.0618 Sr
-0.0231 -5.7929 3.9534 Zr
2.4259 -4.9060 4.1289 Cl
-1.7782 -2.1286 1.3652 Cl
```

Here is Ca2MoAu after structural relaxation from the Alexandria database. Energies are from PBE.

Computed properties:
* relative energy among the computed polymorphs: 0.000 eV/atom
* energy relative to the elements: 0.200 eV per atom
* DFT total energy: -17.31 eV for the cell shown

POSCAR file:
```
Ca2MoAu
1.0
-0.2759 3.0463 -0.8276
-2.5848 0.2589 1.8147
5.1325 2.3595 6.9740
Mo Au Ca
1 1 2
Cartesian
-0.1472 2.2425 2.2370 Mo
2.4191 3.4223 5.7240 Au
5.0880 2.3391 6.9135 Ca
2.6108 1.2002 3.5474 Ca
```

Here is Er3AlNi after structural relaxation from the Alexandria database. Energies are from PBE.

Computed properties:
* energy relative to the elements: -0.317 eV per atom
* DFT total energy: -99.19 eV for the cell shown

POSCAR file:
```
Er3AlNi
1.0
6.4283 0.0000 0.0000
0.0000 9.4546 -0.1527
0.0000 -3.9143 7.7684
Er Al Ni
12 4 4
Cartesian
6.4278 3.0482 6.7613 Er
0.0005 2.4922 0.8545 Er
3.2136 7.2196 0.7783 Er
3.2147 -1.6792 6.8375 Er
3.2139 1.4062 5.7738 Er
3.2144 4.1342 1.8420 Er
6.4281 -0.5928 1.9183 Er
0.0002 6.1332 5.6974 Er
6.4282 0.1564 5.2330 Er
0.0001 5.3840 2.3828 Er
3.2140 0.6565 2.4593 Er
3.2143 4.8839 5.1565 Er
5.1501 2.7696 3.8077 Al
1.2782 2.7707 3.8080 Al
1.9359 -1.9566 3.8844 Al
4.4924 7.4970 3.7314 Al
1.3273 4.7283 -0.0759 Ni
5.1011 0.8121 7.6916 Ni
4.5412 5.5395 7.6153 Ni
1.8872 0.0009 0.0005 Ni
```

Here is Pm4Mg5Zr after structural relaxation from the Alexandria database. Energies are from PBE.

Computed properties:
* energy relative to the elements: -0.047 eV per atom
* DFT total energy: -35.99 eV for the cell shown

POSCAR file:
```
Pm4Mg5Zr
1.0
-0.6866 -0.9137 -3.5897
2.8180 -2.4983 0.0969
-12.2832 -13.6295 5.8186
Pm Mg Zr
4 5 1
Cartesian
-2.3000 -2.5521 1.0895 Pm
-4.8516 -5.3833 2.2982 Pm
-7.4316 -8.2462 3.5204 Pm
-9.9832 -11.0774 4.7291 Pm
0.0344 -2.8503 -1.2579 Mg
-2.5181 -5.6826 -0.0488 Mg
-5.0759 -8.5207 1.1629 Mg
-7.6337 -11.3589 2.3745 Mg
-10.1861 -14.1911 3.5836 Mg
0.0000 0.0000 0.0000 Zr
```

Here is TaCF2 after structural relaxation from the Alexandria database. Energies are from PBE.

Computed properties:
* relative energy among the computed polymorphs: 0.000 eV/atom
* formation energy without anion corrections: -0.815 eV per atom
* DFT total energy: -56.16 eV for the cell shown

POSCAR file:
```
TaCF2
1.0
7.8930 0.0000 0.0000
0.0000 7.8930 0.0000
3.9465 3.9465 1.9978
C F Ta
2 4 2
Cartesian
3.9465 3.9465 0.0000 C
3.9465 7.8930 0.9989 C
7.3619 1.9733 0.4994 F
8.4242 5.9198 0.4994 F
5.9198 4.4777 1.4983 F
9.8663 3.4153 1.4983 F
0.0000 0.0000 0.0000 Ta
7.8930 3.9465 0.9989 Ta
```

Here is La6NdSmY2 after structural relaxation from the Alexandria database. Energies are from PBE.

Computed properties:
* energy relative to the elements: 0.187 eV per atom
* DFT total energy: -50.11 eV for the cell shown

POSCAR file:
```
La6NdSmY2
1.0
8.9212 0.0000 1.2761
0.0000 7.2416 0.0000
-2.1063 -3.6208 5.3036
La Nd Sm Y
6 1 1 2
Cartesian
3.3024 3.6208 2.0204 La
0.4218 -2.0115 3.6755 La
6.3931 1.6093 2.9041 La
0.4218 2.0115 3.6755 La
6.3931 5.6323 2.9041 La
3.5125 0.0000 4.5592 La
0.0000 3.6208 0.0000 Nd
4.4606 0.0000 0.6380 Sm
1.0625 0.0000 1.1903 Y
5.7524 3.6208 5.3893 Y
```

Here is RbBa2Se after structural relaxation from the Alexandria database. Energies are from PBE.

Computed properties:
* formation energy without anion corrections: -0.880 eV per atom
* DFT total energy: -11.82 eV for the cell shown

POSCAR file:
```
RbBa2Se
1.0
4.5729 0.0000 0.0000
2.2864 3.9602 0.0000
2.2864 1.3201 12.8357
Se Ba Rb
1 2 1
Cartesian
4.5729 2.6402 6.4179 Se
2.2864 1.3201 8.3469 Ba
6.8593 3.9602 4.4888 Ba
0.0000 0.0000 0.0000 Rb
```

Here is YErTe2 after structural relaxation from the Alexandria database. Energies are from PBE.

Computed properties:
* relative energy among the computed polymorphs: 0.032 eV/atom
* formation energy without anion corrections: -1.261 eV per atom
* DFT total energy: -22.35 eV for the cell shown

POSCAR file:
```
YErTe2
1.0
4.3523 0.0000 0.0000
2.1762 3.7692 0.0000
2.1762 1.2564 7.0603
Y Te Er
1 2 1
Cartesian
4.3523 2.5128 3.5301 Y
2.1762 1.2564 1.7356 Te
6.5285 3.7692 5.3247 Te
0.0000 0.0000 0.0000 Er
```

Which formula does entry 4 have?
Pr2HoZrP4